[1]
{"formula": "MnSiW2", "functional": "PBE-GGA", "state": "optimized geometry", "lattice": [[3.7147, 0.0000, 0.0000], [0.0000, 3.7147, 0.0000], [0.0000, 0.0000, 18.5921]], "species": ["Mn", "Mn", "Mn", "Mn", "Si", "Si", "Si", "Si", "W", "W", "W", "W", "W", "W", "W", "W"], "frac_coords": [[0.0000, 0.0000, 0.0000], [0.0000, 0.5000, 0.2500], [0.5000, 0.0000, 0.7500], [0.5000, 0.5000, 0.5000], [0.0000, 0.0000, 0.5000], [0.0000, 0.5000, 0.7500], [0.5000, 0.0000, 0.2500], [0.5000, 0.5000, 0.0000], [0.2437, 0.2500, 0.6250], [0.2500, 0.7437, 0.8750], [0.2500, 0.7563, 0.3750], [0.2563, 0.2500, 0.1250], [0.7437, 0.7500, 0.1250], [0.7500, 0.2437, 0.3750], [0.7500, 0.2563, 0.8750], [0.7563, 0.7500, 0.6250]], "e_form_raw_ev_per_atom": 0.60, "e_tot_ev_per_cell": -152.439, "vol_a3_per_cell": 256.5}

***

[2]
{"formula": "MnSi2W", "functional": "PBE-GGA", "state": "optimized geometry", "lattice": [[5.9077, 0.0000, 0.0000], [0.0000, 5.9077, 0.0000], [0.0000, 0.0000, 5.9077]], "species": ["Mn", "Mn", "Mn", "Mn", "Si", "Si", "Si", "Si", "Si", "Si", "Si", "Si", "W", "W", "W", "W"], "frac_coords": [[0.0000, 0.0000, 0.0000], [0.0000, 0.5000, 0.5000], [0.5000, 0.0000, 0.5000], [0.5000, 0.5000, 0.0000], [0.2500, 0.2500, 0.2500], [0.2500, 0.2500, 0.7500], [0.2500, 0.7500, 0.2500], [0.2500, 0.7500, 0.7500], [0.7500, 0.2500, 0.2500], [0.7500, 0.2500, 0.7500], [0.7500, 0.7500, 0.2500], [0.7500, 0.7500, 0.7500], [0.0000, 0.0000, 0.5000], [0.0000, 0.5000, 0.0000], [0.5000, 0.0000, 0.0000], [0.5000, 0.5000, 0.5000]], "e_form_raw_ev_per_atom": 0.03, "e_tot_ev_per_cell": -131.438, "e_above_lowest_polymorph_mev_per_atom": 265.7, "vol_a3_per_cell": 206.2}